Entry from the Alexandria database: a geometry-optimized PmBeH2O4 structure (PBE-GGA).

a = 4.316 Å, b = 4.624 Å, c = 4.624 Å
α = 72.74°, β = 62.18°, γ = 62.18°
Element x y z (fractional)
O 0.075 0.790 0.533
O 0.397 0.210 0.467
O 0.603 0.533 0.790
O 0.925 0.467 0.210
Be 0.500 0.500 0.500
H 0.836 0.664 0.664
H 0.164 0.336 0.336
Pm 0.000 0.000 0.000

Properties
Total magnetic moment   1.0 μB/f.u.
Symmetry   I222, No. 23
DOS(E_F)   0.285 states/eV per atom
VASP energy   -6.274 eV/atom
Calculated density   5.088 g/cm3